Computed, not measured: an optimized crystal structure of YFeO3 at the PBE+U level of DFT.

a = 3.8489 Å, b = 3.8489 Å, c = 3.8489 Å
α = 90.00°, β = 90.00°, γ = 90.00°
With the nearest neighbours (Å) after each atom.
Element x y z (fractional)
Y: 0.5000 0.5000 0.5000  12 O 2.72
Fe: 0.0000 0.0000 0.0000  6 O 1.92
O: 0.0000 0.5000 0.0000  2 Fe 1.92
O: 0.0000 0.0000 0.5000  2 Fe 1.92
O: 0.5000 0.0000 0.0000  2 Fe 1.92

magnetization: 5.0 μB/f.u.
symmetry: Pm-3m (221)
raw total energy: -37.92 eV/f.u.


Computed, not measured: an optimized crystal structure of Cs4NiF6 at the PBE+U level of DFT.

a = 7.9872 Å, b = 7.9872 Å, c = 7.9872 Å
α = 91.53°, β = 91.53°, γ = 88.47°
With the nearest neighbours (Å) after each atom.
Element x y z (fractional)
Cs: 0.3827 0.1173 0.2500  8 F 3.01-3.36
Cs: 0.8827 0.2500 0.3827  8 F 3.01-3.36
Cs: 0.2500 0.6173 0.1173  8 F 3.01-3.36
Cs: 0.2500 0.2500 0.7500  6 F 2.90
Cs: 0.7500 0.7500 0.2500  6 F 2.90
Cs: 0.7500 0.3827 0.8827  8 F 3.01-3.36
Cs: 0.1173 0.7500 0.6173  8 F 3.01-3.36
Cs: 0.6173 0.8827 0.7500  8 F 3.01-3.36
Ni: 0.5000 0.5000 0.5000  6 F 2.09
Ni: 0.0000 0.0000 0.0000  6 F 2.09
F: 0.7544 0.0591 0.0670  1 Ni 2.09
F: 0.0670 0.2456 0.0591  1 Ni 2.09
F: 0.5670 0.4409 0.2544  1 Ni 2.09
F: 0.9409 0.0670 0.7544  1 Ni 2.09
F: 0.5591 0.2544 0.5670  1 Ni 2.09
F: 0.2544 0.4330 0.4409  1 Ni 2.09
F: 0.7456 0.5670 0.5591  1 Ni 2.09
F: 0.4409 0.7456 0.4330  1 Ni 2.09
F: 0.0591 0.9330 0.2456  1 Ni 2.09
F: 0.4330 0.5591 0.7456  1 Ni 2.09
F: 0.9330 0.7544 0.9409  1 Ni 2.09
F: 0.2456 0.9409 0.9330  1 Ni 2.09

magnetization: 1.9 μB/f.u.
symmetry: R-3c (167)
raw total energy: -45.29 eV/f.u.


The highest raw total energy belongs to which entry? YFeO3


Repeat the second record exactly.
Computed, not measured: an optimized crystal structure of Cs4NiF6 at the PBE+U level of DFT.

a = 7.9872 Å, b = 7.9872 Å, c = 7.9872 Å
α = 91.53°, β = 91.53°, γ = 88.47°
With the nearest neighbours (Å) after each atom.
Element x y z (fractional)
Cs: 0.3827 0.1173 0.2500  8 F 3.01-3.36
Cs: 0.8827 0.2500 0.3827  8 F 3.01-3.36
Cs: 0.2500 0.6173 0.1173  8 F 3.01-3.36
Cs: 0.2500 0.2500 0.7500  6 F 2.90
Cs: 0.7500 0.7500 0.2500  6 F 2.90
Cs: 0.7500 0.3827 0.8827  8 F 3.01-3.36
Cs: 0.1173 0.7500 0.6173  8 F 3.01-3.36
Cs: 0.6173 0.8827 0.7500  8 F 3.01-3.36
Ni: 0.5000 0.5000 0.5000  6 F 2.09
Ni: 0.0000 0.0000 0.0000  6 F 2.09
F: 0.7544 0.0591 0.0670  1 Ni 2.09
F: 0.0670 0.2456 0.0591  1 Ni 2.09
F: 0.5670 0.4409 0.2544  1 Ni 2.09
F: 0.9409 0.0670 0.7544  1 Ni 2.09
F: 0.5591 0.2544 0.5670  1 Ni 2.09
F: 0.2544 0.4330 0.4409  1 Ni 2.09
F: 0.7456 0.5670 0.5591  1 Ni 2.09
F: 0.4409 0.7456 0.4330  1 Ni 2.09
F: 0.0591 0.9330 0.2456  1 Ni 2.09
F: 0.4330 0.5591 0.7456  1 Ni 2.09
F: 0.9330 0.7544 0.9409  1 Ni 2.09
F: 0.2456 0.9409 0.9330  1 Ni 2.09

magnetization: 1.9 μB/f.u.
symmetry: R-3c (167)
raw total energy: -45.29 eV/f.u.